(1)
Below is an optimized crystal structure of ZrBeCoRh, with properties calculated at the PBE level.

Cell lengths 4.2737, 4.2737, 4.2737 Å; angles 60.00, 60.00, 60.00 degrees
Closest atoms and distances in Å follow each position.
Sites, in units of the cell vectors:
Co  0.0000  0.0000  0.0000  4 Be 2.62, 4 Zr 2.62
Be  0.2500  0.2500  0.2500  4 Rh 2.62, 4 Co 2.62
Rh  0.5000  0.5000  0.5000  4 Zr 2.62, 4 Be 2.62
Zr  0.7500  0.7500  0.7500  4 Rh 2.62, 4 Co 2.62

Values from the calculation:
uncorrected energy	-0.26107	Ha/atom
magnetic moment	0.00	Bohr magnetons per cell
space-group type	F-43m
N(E_F)	1.69	states/eV per cell
formation enthalpy at 0 K	-0.42	eV per atom
crystal system	cubic


(2)
Below is an optimized crystal structure of LaHoH2, with properties calculated at the PBE level.

Cell lengths 3.5726, 3.5726, 6.2268 Å; angles 73.33, 73.33, 60.00 degrees
Closest atoms and distances in Å follow each position.
Sites, in units of the cell vectors:
Ho  0.0000  0.0000  0.0000  6 H 2.45
H  0.2585  0.2585  0.2245  3 Ho 2.45, 3 La 2.62
H  0.7415  0.7415  0.7755  3 Ho 2.45, 3 La 2.62
La  0.5000  0.5000  0.5000  6 H 2.62

Values from the calculation:
uncorrected energy	-0.16299	Ha/atom
magnetic moment	0.00	Bohr magnetons per cell
space-group type	R-3m
N(E_F)	2.28	states/eV per cell
crystal system	trigonal
relative energy among the computed polymorphs	0.0	kJ per mole of atoms


- Which formula does entry 1 have?
  ZrBeCoRh


- magnetic moment of number 1 (ZrBeCoRh)?
  0.00 Bohr magnetons per cell


- Look up the magnetic moment of the first one.
  0.00 Bohr magnetons per cell